Record 1
! Na2TiTc PBE-GGA relaxed; values from VASP
&SYSTEM
  ibrav = 0, nat = 8, ntyp = 3
/
ATOMIC_SPECIES
Na 22.99 Na.upf
Ti 47.87 Ti.upf
Tc 98.00 Tc.upf
CELL_PARAMETERS angstrom
-1.823 1.823 11.545
1.823 -1.823 11.545
1.823 1.823 -11.545
ATOMIC_POSITIONS angstrom
Na 2.735 0.889 -2.886
Na 0.889 0.912 2.886
Na -0.912 0.934 8.659
Na 0.934 0.912 14.432
Ti 1.823 0.000 5.773
Ti 0.000 0.000 11.545
Tc 0.000 0.000 0.000
Tc 0.000 1.823 5.773
! Formation energy from the elements   0.676 eV per atom
! SG   No. 122

***

Record 2
! Na2TiCuO4 PBE-GGA relaxed; values from VASP
&SYSTEM
  ibrav = 0, nat = 8, ntyp = 4
/
ATOMIC_SPECIES
Na 22.99 Na.upf
Ti 47.87 Ti.upf
Cu 63.55 Cu.upf
O 16.00 O.upf
CELL_PARAMETERS angstrom
-2.801 2.801 3.296
2.801 -2.801 3.296
2.801 2.801 -3.296
ATOMIC_POSITIONS angstrom
Na 0.000 0.000 0.000
Na 0.000 2.801 1.648
Ti 0.000 0.000 3.296
Cu 2.801 0.000 1.648
O 1.604 1.863 -1.046
O 3.739 1.604 1.046
O 1.197 0.938 2.250
O -0.938 1.197 4.342
! SG   No. 82
! Formation energy (no corrections)   -1.894 eV per atom

***

Record 3
! CaPSCl2 PBE-GGA relaxed; values from VASP
&SYSTEM
  ibrav = 0, nat = 5, ntyp = 4
/
ATOMIC_SPECIES
Ca 40.08 Ca.upf
P 30.97 P.upf
S 32.06 S.upf
Cl 35.45 Cl.upf
CELL_PARAMETERS angstrom
5.106 0.000 0.000
0.000 5.106 0.000
0.000 0.000 6.303
ATOMIC_POSITIONS angstrom
Ca 0.000 0.000 0.000
P 0.000 0.000 3.151
S 2.553 2.553 3.151
Cl 0.000 2.553 0.000
Cl 2.553 0.000 0.000
! SG   No. 123
! Formation energy (no corrections)   -0.095 eV per atom